A relaxed structure of NbCr3Ag2S8. Source: Alexandria via LeMat-Bulk, functional PBE-GGA.

## Properties
E ... -6.16 eV per atom
Space group ... P1
Density ... 4.07 g/cm³
E above lowest polymorph ... 0 meV per atom

a = 6.945 Å, b = 14.810 Å, c = 6.039 Å
α = 101.37°, β = 89.47°, γ = 104.75°
Sites, in units of the cell vectors:
Nb: 0.088 0.248 0.082
Nb: 0.162 0.748 0.446
Cr: 0.941 0.753 0.000
Cr: 0.559 0.254 0.031
Cr: 0.429 0.751 0.011
Cr: 0.313 0.248 0.530
Cr: 0.693 0.750 0.499
Cr: 0.824 0.250 0.528
Ag: 0.870 0.998 0.443
Ag: 0.609 0.498 0.620
Ag: 0.987 0.502 0.861
Ag: 0.499 0.000 0.694
S: 0.365 0.346 0.903
S: 0.639 0.662 0.796
S: 0.757 0.155 0.151
S: 0.240 0.857 0.200
S: 0.271 0.143 0.160
S: 0.736 0.842 0.213
S: 0.865 0.341 0.909
S: 0.137 0.658 0.789
S: 0.016 0.156 0.656
S: 0.990 0.847 0.715
S: 0.616 0.342 0.412
S: 0.390 0.653 0.287
S: 0.131 0.356 0.434
S: 0.868 0.643 0.265
S: 0.521 0.161 0.655
S: 0.485 0.838 0.709



A relaxed structure of NbCr3Ag2S8. Source: Alexandria via LeMat-Bulk, functional PBE-GGA.

## Properties
E ... -6.05 eV per atom
Space group ... Pmn2_1
Density ... 4.75 g/cm³
E above lowest polymorph ... 113 meV per atom
Density of states at the Fermi level ... 0.40 states/eV/atom

a = 3.466 Å, b = 12.088 Å, c = 12.037 Å
α = 90.00°, β = 90.00°, γ = 90.00°
Sites, in units of the cell vectors:
Nb: 0.000 0.911 0.717
Nb: 0.500 0.089 0.217
Cr: 0.500 0.647 0.922
Cr: 0.000 0.845 0.079
Cr: 0.000 0.353 0.422
Cr: 0.500 0.155 0.579
Cr: 0.500 0.583 0.292
Cr: 0.000 0.417 0.792
Ag: 0.000 0.615 0.587
Ag: 0.500 0.861 0.409
Ag: 0.500 0.385 0.087
Ag: 0.000 0.139 0.909
S: 0.000 0.685 0.382
S: 0.500 0.808 0.618
S: 0.500 0.315 0.882
S: 0.000 0.192 0.118
S: 0.500 0.711 0.117
S: 0.000 0.788 0.882
S: 0.000 0.289 0.617
S: 0.500 0.212 0.382
S: 0.500 0.550 0.745
S: 0.000 0.943 0.256
S: 0.000 0.450 0.245
S: 0.500 0.057 0.756
S: 0.000 0.524 0.958
S: 0.500 0.973 0.036
S: 0.500 0.476 0.458
S: 0.000 0.027 0.536



A relaxed structure of NbCr2Ag2S6. Source: Alexandria via LeMat-Bulk, functional PBE-GGA.

## Properties
E ... -5.98 eV per atom
Space group ... C2/m
Density ... 4.76 g/cm³
Density of states at the Fermi level ... 0.43 states/eV/atom

a = 5.753 Å, b = 5.753 Å, c = 8.206 Å
α = 101.44°, β = 101.44°, γ = 121.76°
Sites, in units of the cell vectors:
Nb: 0.000 0.000 0.500
Cr: 0.367 0.633 0.500
Cr: 0.633 0.367 0.500
Ag: 0.686 0.314 0.000
Ag: 0.314 0.686 0.000
S: 0.777 0.777 0.711
S: 0.100 0.463 0.679
S: 0.223 0.223 0.289
S: 0.463 0.100 0.679
S: 0.900 0.537 0.321
S: 0.537 0.900 0.321



Number 1: formation energy without anion corrections -59 kJ/mol of atoms. Number 2: formation energy without anion corrections -48 kJ/mol of atoms. Number 3: formation energy without anion corrections -52 kJ/mol of atoms.